1.
LaPuSc2S4: optimized geometry, PBE.

Cell: 5.5308 5.5308 6.7606 Å, 114.15 114.15 89.99°
Element x y z (fractional)
S (0.6819, 0.6819, 0.4897)
S (0.4374, 0.9373, 0.0000)
S (0.9373, 0.4374, 0.0000)
S (0.1922, 0.1922, 0.5103)
Pu (0.4373, 0.4373, 0.0000)
Sc (0.1870, 0.6870, 0.5000)
La (0.9373, 0.9373, 0.0000)
Sc (0.6870, 0.1870, 0.5000)

ΔE_f (raw)   -1821 meV/atom
Space group   No. 139

2.
La4Sm3PuS8: optimized geometry, PBE.

Cell: 8.1426 8.1666 8.1427 Å, 119.90 120.00 90.00°
Element x y z (fractional)
Pu (0.0000, 0.5000, 0.0000)
S (0.2449, 0.7379, 0.4898)
La (0.5000, 0.0000, 0.5000)
S (0.7551, 0.2621, 0.0070)
Sm (0.5000, 0.5000, 0.5000)
La (0.0000, 0.0000, 0.5000)
S (0.2535, 0.2605, 0.5070)
S (0.7481, 0.7379, 0.9930)
S (0.7465, 0.7395, 0.4930)
Sm (0.0000, 0.5000, 0.5000)
Sm (0.5000, 0.5000, 0.0000)
S (0.2519, 0.2621, 0.0070)
La (0.5000, 0.0000, 0.0000)
La (0.0000, 0.0000, 0.0000)
S (0.7551, 0.2621, 0.5102)
S (0.2449, 0.7379, 0.9930)

ΔE_f (raw)   -2069 meV/atom
Space group   No. 166

Results for ρ: 5.92, 6.53 (in g/cm3, following the order of the records).